(1)
Density functional theory data (PBE) for a geometry-optimized K3Ag4S4 structure.

Values from the calculation:
energy: -0.12239 Ha/atom
N(E_F): 0.486 states/eV per atom
E_form (uncorrected): -0.493 eV per atom

Lattice parameters (Å, degrees): 7.052 7.052 7.052 109.47 109.47 109.47
Fractional coordinates of all 11 atoms:
Ag: 0.000 0.281 0.000
K: 0.500 0.000 0.500
S: 0.000 0.000 0.639
K: 0.500 0.500 0.000
Ag: 0.719 0.719 0.719
K: 0.000 0.500 0.500
Ag: 0.281 0.000 0.000
S: 0.639 0.000 0.000
S: 0.361 0.361 0.361
Ag: 0.000 0.000 0.281
S: 0.000 0.639 0.000

***

(2)
Density functional theory data (PBE) for a geometry-optimized KAgS structure.

Values from the calculation:
energy: -0.12278 Ha/atom
N(E_F): 0.060 states/eV per atom
E_form (uncorrected): -0.649 eV per atom

Lattice parameters (Å, degrees): 4.707 4.375 4.375 120.00 90.00 90.00
Fractional coordinates of all 3 atoms:
Ag: 0.167 0.333 0.667
S: 0.166 0.000 0.000
K: 0.667 0.667 0.333

***

(3)
Density functional theory data (PBE) for a geometry-optimized K2Ag2S7 structure.

Values from the calculation:
energy: -0.13042 Ha/atom
N(E_F): 0.513 states/eV per atom
E_form (uncorrected): -0.204 eV per atom

Lattice parameters (Å, degrees): 4.405 9.433 9.433 63.57 58.41 58.41
Fractional coordinates of all 11 atoms:
S: 0.621 0.888 0.466
S: 0.500 0.000 0.000
Ag: 0.000 0.146 0.854
K: 0.055 0.234 0.234
S: 0.775 0.464 0.464
S: 0.379 0.534 0.112
S: 0.379 0.112 0.534
S: 0.621 0.466 0.888
Ag: 0.000 0.854 0.146
K: 0.945 0.766 0.766
S: 0.225 0.536 0.536

***

(4)
Density functional theory data (PBE) for a geometry-optimized KAg2S2 structure.

Values from the calculation:
energy: -0.12187 Ha/atom
N(E_F): 0.239 states/eV per atom
E_form (uncorrected): -0.305 eV per atom

Lattice parameters (Å, degrees): 5.032 5.032 6.316 66.52 66.52 90.00
Fractional coordinates of all 5 atoms:
Ag: 0.700 0.700 0.600
S: 0.750 0.250 0.500
K: 0.000 0.000 0.000
S: 0.250 0.750 0.500
Ag: 0.300 0.300 0.400

***

(5)
Density functional theory data (PBE) for a geometry-optimized K3Ag2S3 structure.

Values from the calculation:
energy: -0.12132 Ha/atom
N(E_F): 0.548 states/eV per atom
E_form (uncorrected): -0.629 eV per atom

Lattice parameters (Å, degrees): 4.424 6.559 15.020 90.00 90.00 109.71
Fractional coordinates of all 16 atoms:
S: 0.322 0.644 0.250
S: 0.678 0.356 0.750
K: 0.641 0.282 0.250
Ag: 0.775 0.549 0.591
Ag: 0.775 0.549 0.909
S: 0.366 0.732 0.546
K: 0.072 0.144 0.609
Ag: 0.225 0.451 0.091
Ag: 0.225 0.451 0.409
K: 0.928 0.856 0.109
S: 0.634 0.268 0.454
K: 0.072 0.144 0.891
S: 0.634 0.268 0.046
S: 0.366 0.732 0.954
K: 0.928 0.856 0.391
K: 0.359 0.718 0.750

***

(6)
Density functional theory data (PBE) for a geometry-optimized KAgS structure.

Values from the calculation:
energy: -0.11073 Ha/atom
N(E_F): 0.188 states/eV per atom
E_form (uncorrected): -0.321 eV per atom

Lattice parameters (Å, degrees): 3.792 3.792 6.112 108.07 108.07 90.00
Fractional coordinates of all 3 atoms:
K: 0.003 0.003 0.006
S: 0.724 0.724 0.448
Ag: 0.273 0.273 0.546

***

(7)
Density functional theory data (PBE) for a geometry-optimized KAg3S structure.

Values from the calculation:
energy: -0.09572 Ha/atom
N(E_F): 0.349 states/eV per atom
E_form (uncorrected): 0.151 eV per atom

Lattice parameters (Å, degrees): 5.127 5.127 5.127 90.00 90.00 90.00
Fractional coordinates of all 5 atoms:
Ag: 0.000 0.500 0.000
S: 0.000 0.000 0.000
Ag: 0.500 0.000 0.000
K: 0.500 0.500 0.500
Ag: 0.000 0.000 0.500

***

(8)
Density functional theory data (PBE) for a geometry-optimized KAgS4 structure.

Values from the calculation:
energy: -0.13394 Ha/atom
N(E_F): 0.256 states/eV per atom
E_form (uncorrected): -0.235 eV per atom

Lattice parameters (Å, degrees): 5.566 5.566 10.723 105.04 105.04 90.00
Fractional coordinates of all 12 atoms:
S: 0.149 0.220 0.439
S: 0.790 0.220 0.439
S: 0.720 0.649 0.939
Ag: 0.375 0.125 0.250
S: 0.280 0.351 0.061
S: 0.210 0.780 0.561
Ag: 0.625 0.875 0.750
S: 0.280 0.710 0.061
K: 0.875 0.625 0.250
S: 0.720 0.290 0.939
K: 0.125 0.375 0.750
S: 0.851 0.780 0.561

***

Which value of E_form (uncorrected) does entry 3 give? -0.204 eV per atom